Tb3Sm2Er6In: optimized geometry, GGA-PBE.

Computed properties:
VASP energy: -4.51 eV per atom
calculated formation energy: -60.1 kJ/mol of formula units
magnetization: 0.00 μB per formula unit
density: 8.62 g/cm3

Cell lengths 6.0648, 6.0648, 11.6457 Å; angles 94.99, 94.99, 120.02 degrees
With the nearest neighbours (Å) after each atom.
Sites, in units of the cell vectors:
Tb 0.1667 0.8333 0.5000  6 Tb 3.50, 6 Er 3.51-3.54
Tb 0.8333 0.1667 0.5000  6 Tb 3.50, 6 Er 3.51-3.54
Tb 0.5000 0.5000 0.5000  6 Tb 3.50, 6 Er 3.52-3.53
Sm 0.3336 0.6664 0.0000  3 Sm 3.50, 3 In 3.50-3.51, 6 Er 3.50-3.51
Sm 0.6664 0.3336 0.0000  3 Sm 3.50, 3 In 3.50-3.51, 6 Er 3.50-3.51
Er 0.9177 0.5897 0.7519  6 Er 3.44-3.53, 1 In 3.47, 2 Sm 3.50, 3 Tb 3.52-3.54
Er 0.7546 0.7546 0.2491  6 Er 3.44-3.53, 1 In 3.48, 2 Sm 3.51, 3 Tb 3.51-3.53
Er 0.0823 0.4103 0.2481  6 Er 3.44-3.53, 1 In 3.47, 2 Sm 3.50, 3 Tb 3.52-3.54
Er 0.5897 0.9177 0.7519  6 Er 3.44-3.53, 1 In 3.47, 2 Sm 3.50, 3 Tb 3.52-3.54
Er 0.2454 0.2454 0.7509  6 Er 3.44-3.53, 1 In 3.48, 2 Sm 3.51, 3 Tb 3.51-3.53
Er 0.4103 0.0823 0.2481  6 Er 3.44-3.53, 1 In 3.47, 2 Sm 3.50, 3 Tb 3.52-3.54
In 0.0000 0.0000 0.0000  6 Er 3.47-3.48, 6 Sm 3.50-3.51


RbGeO2F: optimized geometry, GGA-PBE.

Computed properties:
VASP energy: -3.24 eV per atom
magnetization: 0.00 μB per formula unit
density: 3.81 g/cm3
formation energy without anion corrections: 0.24 eV per atom

Cell lengths 4.3686, 4.3686, 4.7797 Å; angles 90.00, 90.00, 90.00 degrees
With the nearest neighbours (Å) after each atom.
Sites, in units of the cell vectors:
Ge 0.5000 0.5000 0.5000  4 F 3.09, 8 O 3.24
O 0.0000 0.5000 0.0000  2 Rb 2.18
O 0.5000 0.0000 0.0000  2 Rb 2.18
Rb 0.0000 0.0000 0.0000  4 O 2.18, 2 F 2.39
F 0.0000 0.0000 0.5000  2 Rb 2.39


Question: What is the magnetization in the first record?
Answer: 0.00 μB per formula unit


Question: Among the records above, which one has the highest VASP energy?
Answer: RbGeO2F